# CoS2F

Crystalline CoS2F at its relaxed geometry (GGA+U, Alexandria).

The structure in CIF format:
```
data_CoS2F
_cell_length_a 5.467
_cell_length_b 5.467
_cell_length_c 9.168
_cell_angle_alpha 90.00
_cell_angle_beta 90.00
_cell_angle_gamma 90.00
_space_group_name_H-M_alt 'I -4 2 d'
_space_group_IT_number 122
_space_group_name_Hall 'I -4 2bw'
loop_
_atom_site_label
_atom_site_type_symbol
_atom_site_fract_x
_atom_site_fract_y
_atom_site_fract_z
Co1 Co 0.000 0.000 0.000
S1 S 0.184 0.250 0.125
F1 F 0.000 0.000 0.500
```

Results
Uncorrected energy   -3.822 eV/atom
Mass density   3444 kg/m³